Record 1
VASP calculation (PBE) on a geometry-optimized Cd4BOs2 structure.

a b c (Å): 4.834 4.834 7.219
angles (deg): 70.44 70.44 90.00
Element x y z (fractional)
Os: 0.397 0.397 0.205
Os: 0.603 0.603 0.795
B: 0.000 0.000 0.000
Cd: 0.183 0.183 0.634
Cd: 0.817 0.817 0.366
Cd: 0.500 0.000 0.000
Cd: 0.000 0.500 0.000

## Properties
Space-group type = No. 139
E_tot = -23.3 eV for the cell shown
Calculated formation energy = 1.35 eV per atom

Record 2
VASP calculation (PBE) on a geometry-optimized DyZrZn4 structure.

a b c (Å): 4.311 5.571 5.571
angles (deg): 87.15 67.24 67.24
Element x y z (fractional)
Zn: 0.221 0.446 0.112
Zn: 0.779 0.554 0.888
Zn: 0.221 0.112 0.446
Zn: 0.779 0.888 0.554
Zr: 0.500 0.500 0.500
Dy: 0.000 0.000 0.000

## Properties
Space-group type = No. 71
E_tot = -20.2 eV for the cell shown
Calculated formation energy = -0.32 eV per atom

Record 3
VASP calculation (PBE) on a geometry-optimized SiPt3Pb structure.

a b c (Å): 4.644 4.644 4.644
angles (deg): 90.00 90.00 90.00
Element x y z (fractional)
Pt: 0.000 0.500 0.000
Pt: 0.000 0.000 0.500
Pt: 0.500 0.000 0.000
Si: 0.000 0.000 0.000
Pb: 0.500 0.500 0.500

## Properties
Space-group type = No. 221
E_tot = -27.6 eV for the cell shown
ΔE_f (raw) = -77 meV per atom

Record 4
VASP calculation (PBE) on a geometry-optimized RbPb2W structure.

a b c (Å): 6.939 6.939 9.404
angles (deg): 68.35 68.35 90.00
Element x y z (fractional)
Pb: 0.873 0.625 0.250
Pb: 0.875 0.127 0.750
Pb: 0.877 0.125 0.250
Pb: 0.375 0.123 0.750
W: 0.000 0.000 0.000
W: 0.750 0.250 0.500
Rb: 0.500 0.500 0.000
Rb: 0.250 0.750 0.500

## Properties
Space-group type = No. 122
E_tot = -35.8 eV for the cell shown
Calculated formation energy = 0.86 eV per atom

Record 5
VASP calculation (PBE) on a geometry-optimized CsPbO2 structure.

a b c (Å): 6.549 6.549 6.680
angles (deg): 60.64 60.64 90.00
Element x y z (fractional)
O: 0.875 0.988 0.750
O: 0.375 0.262 0.750
O: 0.738 0.125 0.250
O: 0.012 0.625 0.250
Cs: 0.250 0.750 0.500
Cs: 0.500 0.500 0.000
Pb: 0.750 0.250 0.500
Pb: 0.000 0.000 0.000

## Properties
Space-group type = No. 122
E_tot = -38.1 eV for the cell shown
ΔE_f (raw) = -1141 meV per atom

Record 6
VASP calculation (PBE) on a geometry-optimized Tl2H2SeI2 structure.

a b c (Å): 4.644 7.434 8.478
angles (deg): 57.16 90.16 65.49
Element x y z (fractional)
Tl: 0.511 0.986 0.265
Tl: 0.489 0.014 0.735
I: 0.743 0.395 0.302
I: 0.257 0.605 0.698
Se: 0.000 0.000 0.000
H: 0.332 0.699 0.147
H: 0.668 0.301 0.853

## Properties
Space-group type = No. 2
E_tot = -19.4 eV for the cell shown

Record 7
VASP calculation (PBE) on a geometry-optimized Ag4Pd5Au structure.

a b c (Å): 5.263 6.455 6.455
angles (deg): 80.43 65.94 65.94
Element x y z (fractional)
Pd: 0.080 0.627 0.111
Pd: 0.694 0.000 0.000
Pd: 0.818 0.373 0.889
Pd: 0.707 0.111 0.373
Pd: 0.192 0.889 0.627
Ag: 0.393 0.393 0.723
Ag: 0.509 0.607 0.277
Ag: 0.786 0.723 0.607
Ag: 0.116 0.277 0.393
Au: 0.216 0.000 0.000

## Properties
Space-group type = No. 79
E_tot = -38.3 eV for the cell shown
Calculated formation energy = 0.24 eV per atom

Record 8
VASP calculation (PBE) on a geometry-optimized TbNd6Tl2 structure.

a b c (Å): 3.843 6.875 12.110
angles (deg): 74.54 80.87 73.77
Element x y z (fractional)
Nd: 0.684 0.509 0.124
Nd: 0.015 0.313 0.657
Nd: 0.985 0.687 0.343
Nd: 0.306 0.797 0.591
Nd: 0.316 0.491 0.876
Nd: 0.694 0.203 0.409
Tl: 0.636 0.925 0.802
Tl: 0.364 0.075 0.198
Tb: 0.000 0.000 0.000

## Properties
Space-group type = No. 12
E_tot = -39.3 eV for the cell shown
Calculated formation energy = -0.15 eV per atom

Record 9
VASP calculation (PBE) on a geometry-optimized Ca2TmPb9 structure.

a b c (Å): 4.911 4.911 14.730
angles (deg): 90.00 90.00 90.00
Element x y z (fractional)
Pb: 0.500 0.000 0.500
Pb: 0.000 0.500 0.500
Pb: 0.500 0.000 0.836
Pb: 0.500 0.500 0.668
Pb: 0.500 0.000 0.164
Pb: 0.000 0.500 0.836
Pb: 0.500 0.500 0.332
Pb: 0.000 0.500 0.164
Pb: 0.500 0.500 0.000
Ca: 0.000 0.000 0.331
Ca: 0.000 0.000 0.669
Tm: 0.000 0.000 0.000

## Properties
Space-group type = No. 123
E_tot = -45.4 eV for the cell shown
Calculated formation energy = -0.29 eV per atom

Record 10
VASP calculation (PBE) on a geometry-optimized Tb2Y5Sc4 structure.

a b c (Å): 3.439 8.472 13.992
angles (deg): 54.41 97.06 90.00
Element x y z (fractional)
Y: 0.500 0.000 0.000
Y: 0.722 0.392 0.444
Y: 0.323 0.938 0.646
Y: 0.278 0.608 0.556
Y: 0.677 0.062 0.354
Sc: 0.956 0.738 0.911
Sc: 0.867 0.179 0.735
Sc: 0.044 0.262 0.089
Sc: 0.133 0.821 0.265
Tb: 0.097 0.520 0.194
Tb: 0.903 0.480 0.806

## Properties
Space-group type = No. 12
E_tot = -65.8 eV for the cell shown
Calculated formation energy = 0.10 eV per atom

Record 11
VASP calculation (PBE) on a geometry-optimized Ba2TaRh structure.

a b c (Å): 5.221 3.400 6.166
angles (deg): 82.11 90.00 90.00
Element x y z (fractional)
Ba: 0.000 0.082 0.243
Ba: 0.000 0.918 0.757
Ta: 0.500 0.500 0.500
Rh: 0.500 0.500 0.000

## Properties
Space-group type = No. 10
E_tot = -19.2 eV for the cell shown
Calculated formation energy = 0.96 eV per atom

Record 12
VASP calculation (PBE) on a geometry-optimized YTh3Co2 structure.

a b c (Å): 6.795 7.111 7.388
angles (deg): 105.00 90.00 118.54
Element x y z (fractional)
Y: 0.755 0.000 0.750
Y: 0.245 0.000 0.250
Th: 0.776 0.558 0.889
Th: 0.782 0.558 0.389
Th: 0.736 0.000 0.250
Th: 0.264 0.000 0.750
Th: 0.218 0.442 0.611
Th: 0.224 0.442 0.111
Co: 0.622 0.247 0.562
Co: 0.625 0.247 0.062
Co: 0.378 0.753 0.438
Co: 0.375 0.753 0.938

## Properties
Space-group type = No. 15
E_tot = -88.4 eV for the cell shown
Calculated formation energy = -0.21 eV per atom

Record 13
VASP calculation (PBE) on a geometry-optimized CdAu structure.

a b c (Å): 4.859 4.859 5.512
angles (deg): 90.00 90.00 120.00
Element x y z (fractional)
Cd: 0.667 0.333 0.750
Cd: 0.333 0.667 0.250
Au: 0.667 0.333 0.250
Au: 0.333 0.667 0.750

## Properties
Space-group type = No. 194
E_tot = -8.1 eV for the cell shown
Calculated formation energy = 0.07 eV per atom

Record 14
VASP calculation (PBE) on a geometry-optimized Nd2MgAg5 structure.

a b c (Å): 5.051 5.051 7.879
angles (deg): 108.70 108.70 90.00
Element x y z (fractional)
Ag: 0.605 0.105 0.211
Ag: 0.395 0.895 0.789
Ag: 0.500 0.500 0.000
Ag: 0.105 0.605 0.211
Ag: 0.895 0.395 0.789
Nd: 0.259 0.259 0.519
Nd: 0.741 0.741 0.481
Mg: 0.000 0.000 0.000

## Properties
Space-group type = No. 139
E_tot = -26.8 eV for the cell shown
Calculated formation energy = -0.18 eV per atom

Record 15
VASP calculation (PBE) on a geometry-optimized Tb4Sc2Tl structure.

a b c (Å): 5.364 6.709 11.629
angles (deg): 90.00 103.42 90.00
Element x y z (fractional)
Sc: 0.517 0.750 0.029
Sc: 0.217 0.250 0.432
Sc: 0.783 0.750 0.568
Sc: 0.483 0.250 0.971
Tb: 0.792 0.250 0.580
Tb: 0.354 0.991 0.705
Tb: 0.208 0.750 0.420
Tb: 0.354 0.509 0.705
Tb: 0.646 0.009 0.295
Tb: 0.646 0.491 0.295
Tb: 0.933 0.750 0.861
Tb: 0.067 0.250 0.139
Tl: 0.076 0.750 0.147
Tl: 0.924 0.250 0.853

## Properties
Space-group type = No. 11
E_tot = -67.1 eV for the cell shown
Calculated formation energy = 0.00 eV per atom

Record 16
VASP calculation (PBE) on a geometry-optimized CePuZn structure.

a b c (Å): 2.928 5.025 5.025
angles (deg): 120.00 90.00 90.00
Element x y z (fractional)
Zn: 0.333 0.333 0.667
Ce: 0.833 0.000 0.000
Pu: 0.833 0.667 0.333

## Properties
Space-group type = No. 187
E_tot = -21.6 eV for the cell shown
Calculated formation energy = -0.02 eV per atom

Record 17
VASP calculation (PBE) on a geometry-optimized LiOs2Cl structure.

a b c (Å): 4.211 4.211 4.211
angles (deg): 60.00 60.00 60.00
Element x y z (fractional)
Cl: 0.500 0.500 0.500
Os: 0.750 0.750 0.750
Os: 0.250 0.250 0.250
Li: 0.000 0.000 0.000

## Properties
Space-group type = No. 225
E_tot = -20.9 eV for the cell shown
ΔE_f (raw) = 1333 meV per atom

Record 18
VASP calculation (PBE) on a geometry-optimized SmTc4N8 structure.

a b c (Å): 5.762 5.762 6.809
angles (deg): 64.97 64.97 60.00
Element x y z (fractional)
N: 0.234 0.234 0.793
N: 0.766 0.766 0.207
N: 0.739 0.234 0.793
N: 0.766 0.261 0.207
N: 0.261 0.766 0.207
N: 0.267 0.267 0.198
N: 0.234 0.739 0.793
N: 0.733 0.733 0.802
Tc: 0.000 0.500 0.000
Tc: 0.500 0.000 0.000
Tc: 0.000 0.000 0.000
Tc: 0.500 0.500 0.000
Sm: 0.500 0.500 0.500

## Properties
Space-group type = No. 166
E_tot = -111.4 eV for the cell shown
ΔE_f (raw) = 110 meV per atom

Record 19
VASP calculation (PBE) on a geometry-optimized Pr6IrOs2I3 structure.

a b c (Å): 7.325 7.325 8.534
angles (deg): 98.24 98.24 120.00
Element x y z (fractional)
I: 0.167 0.833 0.500
I: 0.833 0.167 0.500
I: 0.500 0.500 0.500
Os: 0.667 0.333 0.000
Os: 0.333 0.667 0.000
Pr: 0.600 0.938 0.814
Pr: 0.724 0.724 0.185
Pr: 0.938 0.600 0.814
Pr: 0.276 0.276 0.815
Pr: 0.062 0.400 0.186
Pr: 0.400 0.062 0.186
Ir: 0.000 0.000 0.000

## Properties
Space-group type = No. 12
E_tot = -72.4 eV for the cell shown
ΔE_f (raw) = -645 meV per atom

Record 20
VASP calculation (PBE) on a geometry-optimized K2MgI5 structure.

a b c (Å): 6.608 9.300 13.649
angles (deg): 90.00 90.00 110.81
Element x y z (fractional)
K: 0.831 0.662 0.409
K: 0.831 0.662 0.091
K: 0.169 0.338 0.591
K: 0.169 0.338 0.909
I: 0.288 0.576 0.103
I: 0.712 0.424 0.603
I: 0.028 0.056 0.127
I: 0.972 0.944 0.873
I: 0.327 0.654 0.750
I: 0.288 0.576 0.397
I: 0.972 0.944 0.627
I: 0.673 0.346 0.250
I: 0.028 0.056 0.373
I: 0.712 0.424 0.897
Mg: 0.823 0.647 0.750
Mg: 0.177 0.353 0.250

## Properties
Space-group type = No. 63
E_tot = -39.2 eV for the cell shown
ΔE_f (raw) = -1007 meV per atom

Results for total moment: 3.6, 0.0, 0.0, 1.0, 0.0, 0.0, 0.0, 0.0, 0.0, 0.0, 0.0, 0.0, 0.0, 0.2, 0.9, 5.5, 0.0, 0.0, 0.0, 0.0 (in μB per formula unit, following the order of the records).